[1]
Here is an optimized crystal structure of Pr4In3Sn from Alexandria. Energies are from GGA-PBE. Values from VASP.

DFT total energy, hartree per atom: -0.163
Calculated volume, Å³/f.u.: 237.9

Geometry as Quantum ESPRESSO input:
```
&SYSTEM
  ibrav = 0, nat = 8, ntyp = 3
/
ATOMIC_SPECIES
Pr 140.91 Pr.upf
In 114.82 In.upf
Sn 118.71 Sn.upf
CELL_PARAMETERS angstrom
3.8057 0.0000 0.0000
0.0000 5.5935 0.0000
0.0000 0.0000 11.1772
ATOMIC_POSITIONS angstrom
Pr 0.0000 0.0000 0.0000
Pr 0.0000 0.0000 5.5886
Pr 0.0000 2.7968 2.7712
Pr 0.0000 2.7968 8.4059
In 1.9028 0.0000 2.8470
In 1.9028 0.0000 8.3302
In 1.9028 2.7968 5.5886
Sn 1.9028 2.7968 0.0000
```

---

[2]
Here is an optimized crystal structure of Pr8InSn5 from Alexandria. Energies are from GGA-PBE. Values from VASP.

DFT total energy, hartree per atom: -0.185
Calculated volume, Å³/f.u.: 453.9

Geometry as Quantum ESPRESSO input:
```
&SYSTEM
  ibrav = 0, nat = 14, ntyp = 3
/
ATOMIC_SPECIES
Pr 140.91 Pr.upf
In 114.82 In.upf
Sn 118.71 Sn.upf
CELL_PARAMETERS angstrom
-4.8385 4.8385 4.8470
4.8385 -4.8385 4.8470
4.8385 4.8385 -4.8470
ATOMIC_POSITIONS angstrom
Pr 6.5504 0.6611 -0.5172
Pr 1.7577 -0.7082 2.9821
Pr 0.6611 3.1267 0.5172
Pr 3.0808 5.5467 -1.8649
Pr 4.1303 3.0808 1.8649
Pr 4.1774 1.7118 5.3642
Pr 0.7082 1.7577 6.7119
Pr -1.7118 4.1774 4.3297
In 0.0000 0.0000 0.0000
Sn 3.6235 2.4370 -1.2351
Sn 4.8385 0.0000 2.4235
Sn 2.4015 -1.2150 6.0820
Sn 1.2150 2.4015 3.6119
Sn 2.4370 6.0535 1.2351
```

---

[3]
Here is an optimized crystal structure of PrInSn2 from Alexandria. Energies are from GGA-PBE. Values from VASP.

DFT total energy, hartree per atom: -0.152
Calculated volume, Å³/f.u.: 116.0

Geometry as Quantum ESPRESSO input:
```
&SYSTEM
  ibrav = 0, nat = 4, ntyp = 3
/
ATOMIC_SPECIES
Pr 140.91 Pr.upf
In 114.82 In.upf
Sn 118.71 Sn.upf
CELL_PARAMETERS angstrom
2.5439 1.4687 5.1750
-2.5439 1.4687 5.1750
0.0000 -2.9375 5.1750
ATOMIC_POSITIONS angstrom
Pr 0.0000 0.0000 0.0000
In 0.0000 0.0000 7.7625
Sn 0.0000 0.0000 3.5090
Sn 0.0000 0.0000 12.0159
```

---

[4]
Here is an optimized crystal structure of Pr4InSn15 from Alexandria. Energies are from GGA-PBE. Values from VASP.

DFT total energy, hartree per atom: -0.165
Calculated volume, Å³/f.u.: 551.7

Geometry as Quantum ESPRESSO input:
```
&SYSTEM
  ibrav = 0, nat = 20, ntyp = 3
/
ATOMIC_SPECIES
Pr 140.91 Pr.upf
In 114.82 In.upf
Sn 118.71 Sn.upf
CELL_PARAMETERS angstrom
4.7676 0.0000 0.0000
0.0000 4.7676 0.0000
0.0000 0.0000 24.2700
ATOMIC_POSITIONS angstrom
Pr 0.0000 0.0000 2.4061
Pr 0.0000 0.0000 7.1599
Pr 0.0000 0.0000 17.1101
Pr 0.0000 0.0000 21.8639
In 0.0000 0.0000 12.1350
Sn 0.0000 2.3838 0.0000
Sn 0.0000 2.3838 4.8247
Sn 0.0000 2.3838 9.7254
Sn 0.0000 2.3838 14.5445
Sn 0.0000 2.3838 19.4453
Sn 2.3838 0.0000 0.0000
Sn 2.3838 0.0000 4.8247
Sn 2.3838 0.0000 9.7254
Sn 2.3838 0.0000 14.5445
Sn 2.3838 0.0000 19.4453
Sn 2.3838 2.3838 2.4094
Sn 2.3838 2.3838 7.3219
Sn 2.3838 2.3838 12.1350
Sn 2.3838 2.3838 16.9481
Sn 2.3838 2.3838 21.8606
```

---

[5]
Here is an optimized crystal structure of Pr2InSn from Alexandria. Energies are from GGA-PBE. Values from VASP.

DFT total energy, hartree per atom: -0.165
Calculated volume, Å³/f.u.: 131.2

Geometry as Quantum ESPRESSO input:
```
&SYSTEM
  ibrav = 0, nat = 4, ntyp = 3
/
ATOMIC_SPECIES
Pr 140.91 Pr.upf
In 114.82 In.upf
Sn 118.71 Sn.upf
CELL_PARAMETERS angstrom
2.0285 1.1712 9.2061
-2.0285 1.1712 9.2061
0.0000 -2.3424 9.2061
ATOMIC_POSITIONS angstrom
Pr 0.0000 0.0000 6.8364
Pr 0.0000 0.0000 20.7819
In 0.0000 0.0000 0.0000
Sn 0.0000 0.0000 13.8092
```

---

[6]
Here is an optimized crystal structure of Pr2In3Sn3 from Alexandria. Energies are from GGA-PBE. Values from VASP.

DFT total energy, hartree per atom: -0.155
Calculated volume, Å³/f.u.: 216.0

Geometry as Quantum ESPRESSO input:
```
&SYSTEM
  ibrav = 0, nat = 8, ntyp = 3
/
ATOMIC_SPECIES
Pr 140.91 Pr.upf
In 114.82 In.upf
Sn 118.71 Sn.upf
CELL_PARAMETERS angstrom
4.7021 0.0000 0.0000
0.0000 4.8937 0.0000
0.0000 0.0000 9.3888
ATOMIC_POSITIONS angstrom
Pr 0.0000 0.0000 2.3345
Pr 0.0000 0.0000 7.0543
In 0.0000 2.4468 4.6944
In 2.3510 2.4468 2.3843
In 2.3510 2.4468 7.0045
Sn 0.0000 2.4468 0.0000
Sn 2.3510 0.0000 0.0000
Sn 2.3510 0.0000 4.6944
```

---

[7]
Here is an optimized crystal structure of Pr5In2Sn2 from Alexandria. Energies are from GGA-PBE. Values from VASP.

DFT total energy, hartree per atom: -0.174
Calculated volume, Å³/f.u.: 292.7

Geometry as Quantum ESPRESSO input:
```
&SYSTEM
  ibrav = 0, nat = 18, ntyp = 3
/
ATOMIC_SPECIES
Pr 140.91 Pr.upf
In 114.82 In.upf
Sn 118.71 Sn.upf
CELL_PARAMETERS angstrom
8.1812 -4.2477 0.0000
8.1812 4.2477 0.0000
0.0000 0.0000 8.4240
ATOMIC_POSITIONS angstrom
Pr 0.0000 0.0000 0.0000
Pr 5.8532 2.7345 5.6663
Pr 5.8532 1.5132 1.4543
Pr 10.5092 2.7345 5.6663
Pr 10.5092 1.5132 1.4543
Pr 8.1812 0.0000 4.2120
Pr 5.8532 -1.5132 6.9698
Pr 5.8532 -2.7345 2.7578
Pr 10.5092 -1.5132 6.9698
Pr 10.5092 -2.7345 2.7578
In 8.1812 3.2134 3.1863
In 8.1812 1.0343 7.3984
In 8.1812 -1.0343 1.0257
In 8.1812 -3.2134 5.2377
Sn 3.3560 0.0000 0.0000
Sn 4.8252 0.0000 4.2120
Sn 11.5372 0.0000 4.2120
Sn 13.0064 0.0000 0.0000
```

---

[8]
Here is an optimized crystal structure of Pr2In9Sn from Alexandria. Energies are from GGA-PBE. Values from VASP.

DFT total energy, hartree per atom: -0.127
Calculated volume, Å³/f.u.: 322.5

Geometry as Quantum ESPRESSO input:
```
&SYSTEM
  ibrav = 0, nat = 12, ntyp = 3
/
ATOMIC_SPECIES
Pr 140.91 Pr.upf
In 114.82 In.upf
Sn 118.71 Sn.upf
CELL_PARAMETERS angstrom
4.7354 0.0000 0.0000
0.0000 4.7354 0.0000
0.0000 0.0000 14.3825
ATOMIC_POSITIONS angstrom
Pr 0.0000 0.0000 2.3580
Pr 0.0000 0.0000 12.0246
In 0.0000 2.3677 0.0000
In 0.0000 2.3677 4.8099
In 0.0000 2.3677 9.5726
In 2.3677 0.0000 0.0000
In 2.3677 0.0000 4.8099
In 2.3677 0.0000 9.5726
In 2.3677 2.3677 2.3494
In 2.3677 2.3677 7.1913
In 2.3677 2.3677 12.0331
Sn 0.0000 0.0000 7.1913
```